DFT (PBEsol) results for an optimized crystal structure of LiRh3.

Output
- crystal system = monoclinic
- magnetization (μB/cell) = 0.00
- energy (eV/atom) = -6.594
- energy of formation from the pure elements (eV/atom) = 0.0017

```
data_LiRh3
_chemical_formula_sum 'Li1 Rh3'
_cell_length_a 2.620
_cell_length_b 4.031
_cell_length_c 5.017
_cell_angle_alpha 90.00
_cell_angle_beta 103.71
_cell_angle_gamma 90.00
_space_group_name_H-M_alt 'P 1 2/m 1'
_space_group_IT_number 10
_space_group_name_Hall '-P 2y'
loop_
_atom_site_label
_atom_site_fract_x
_atom_site_fract_y
_atom_site_fract_z
_atom_site_occupancy
Li1 0.000 0.000 0.000 1
Rh1 0.000 0.000 0.500 1
Rh2 0.383 0.500 0.240 1
```

***

DFT (PBEsol) results for an optimized crystal structure of CrAgOs2.

Output
- crystal system = orthorhombic
- magnetization (μB/cell) = 0.00
- energy (eV/atom) = -9.022
- polymorph energy (0 for the lowest one) (meV/atom) = 202
- energy of formation from the pure elements (eV/atom) = 0.4747

```
data_CrAgOs2
_chemical_formula_sum 'Cr2 Ag2 Os4'
_cell_length_a 2.773
_cell_length_b 4.485
_cell_length_c 9.141
_cell_angle_alpha 90.00
_cell_angle_beta 90.00
_cell_angle_gamma 90.00
_space_group_name_H-M_alt 'C m m m'
_space_group_IT_number 65
_space_group_name_Hall '-C 2 2'
loop_
_atom_site_label
_atom_site_fract_x
_atom_site_fract_y
_atom_site_fract_z
_atom_site_occupancy
Cr1 0.000 0.000 0.000 1
Ag1 0.000 0.000 0.500 1
Os1 0.000 0.500 0.225 1
```

***

DFT (PBEsol) results for an optimized crystal structure of LuSi2Rh2.

Output
- crystal system = tetragonal
- magnetization (μB/cell) = 0.00
- formation energy from raw total energies (eV/atom) = -1.1492
- energy (eV/atom) = -7.678

```
data_LuSi2Rh2
_chemical_formula_sum 'Lu2 Si4 Rh4'
_cell_length_a 3.982
_cell_length_b 3.982
_cell_length_c 9.809
_cell_angle_alpha 90.00
_cell_angle_beta 90.00
_cell_angle_gamma 90.00
_space_group_name_H-M_alt 'I 4/m m m'
_space_group_IT_number 139
_space_group_name_Hall '-I 4 2'
loop_
_atom_site_label
_atom_site_fract_x
_atom_site_fract_y
_atom_site_fract_z
_atom_site_occupancy
Lu1 0.000 0.000 0.000 1
Si1 0.000 0.000 0.380 1
Rh1 0.000 0.500 0.250 1
```

***

DFT (PBEsol) results for an optimized crystal structure of AlSe3S.

Output
- crystal system = cubic
- magnetization (μB/cell) = 0.00
- formation energy from raw total energies (eV/atom) = 0.4311
- energy (eV/atom) = -3.574

```
data_AlSe3S
_chemical_formula_sum 'Al1 Se3 S1'
_cell_length_a 4.797
_cell_length_b 4.797
_cell_length_c 4.797
_cell_angle_alpha 90.00
_cell_angle_beta 90.00
_cell_angle_gamma 90.00
_space_group_name_H-M_alt 'P m -3 m'
_space_group_IT_number 221
_space_group_name_Hall '-P 4 2 3'
loop_
_atom_site_label
_atom_site_fract_x
_atom_site_fract_y
_atom_site_fract_z
_atom_site_occupancy
Al1 0.000 0.000 0.000 1
Se1 0.000 0.500 0.500 1
S1 0.500 0.500 0.500 1
```

***

DFT (PBEsol) results for an optimized crystal structure of AgTe3Br.

Output
- crystal system = cubic
- magnetization (μB/cell) = 0.00
- formation energy from raw total energies (eV/atom) = 0.9223
- energy (eV/atom) = -2.230

```
data_AgTe3Br
_chemical_formula_sum 'Ag1 Te3 Br1'
_cell_length_a 5.467
_cell_length_b 5.467
_cell_length_c 5.467
_cell_angle_alpha 90.00
_cell_angle_beta 90.00
_cell_angle_gamma 90.00
_space_group_name_H-M_alt 'P m -3 m'
_space_group_IT_number 221
_space_group_name_Hall '-P 4 2 3'
loop_
_atom_site_label
_atom_site_fract_x
_atom_site_fract_y
_atom_site_fract_z
_atom_site_occupancy
Ag1 0.000 0.000 0.000 1
Te1 0.000 0.500 0.500 1
Br1 0.500 0.500 0.500 1
```

***

DFT (PBEsol) results for an optimized crystal structure of Mn2BeCuAu.

Output
- crystal system = tetragonal
- magnetization (μB/cell) = 8.00
- energy (eV/atom) = -5.126
- energy of formation from the pure elements (eV/atom) = 1.2296

```
data_Mn2BeCuAu
_chemical_formula_sum 'Mn2 Be1 Cu1 Au1'
_cell_length_a 4.400
_cell_length_b 4.400
_cell_length_c 4.617
_cell_angle_alpha 90.00
_cell_angle_beta 90.00
_cell_angle_gamma 90.00
_space_group_name_H-M_alt 'P 4/m m m'
_space_group_IT_number 123
_space_group_name_Hall '-P 4 2'
loop_
_atom_site_label
_atom_site_fract_x
_atom_site_fract_y
_atom_site_fract_z
_atom_site_occupancy
Mn1 0.000 0.500 0.000 1
Be1 0.000 0.000 0.500 1
Cu1 0.500 0.500 0.000 1
Au1 0.500 0.500 0.500 1
```

***

DFT (PBEsol) results for an optimized crystal structure of ScBe2Co2.

Output
- crystal system = tetragonal
- magnetization (μB/cell) = 0.00
- energy (eV/atom) = -6.270
- energy of formation from the pure elements (eV/atom) = -0.2537

```
data_ScBe2Co2
_chemical_formula_sum 'Sc2 Be4 Co4'
_cell_length_a 6.315
_cell_length_b 6.315
_cell_length_c 2.681
_cell_angle_alpha 90.00
_cell_angle_beta 90.00
_cell_angle_gamma 90.00
_space_group_name_H-M_alt 'P 4/m b m'
_space_group_IT_number 127
_space_group_name_Hall '-P 4 2ab'
loop_
_atom_site_label
_atom_site_fract_x
_atom_site_fract_y
_atom_site_fract_z
_atom_site_occupancy
Sc1 0.000 0.000 0.000 1
Be1 0.118 0.382 0.000 1
Co1 0.169 0.669 0.500 1
```

***

DFT (PBEsol) results for an optimized crystal structure of Cu2NiAg.

Output
- crystal system = tetragonal
- magnetization (μB/cell) = 0.00
- energy (eV/atom) = -4.449
- energy of formation from the pure elements (eV/atom) = 0.0856

```
data_Cu2NiAg
_chemical_formula_sum 'Cu2 Ni1 Ag1'
_cell_length_a 2.693
_cell_length_b 2.693
_cell_length_c 6.819
_cell_angle_alpha 90.00
_cell_angle_beta 90.00
_cell_angle_gamma 90.00
_space_group_name_H-M_alt 'P 4/m m m'
_space_group_IT_number 123
_space_group_name_Hall '-P 4 2'
loop_
_atom_site_label
_atom_site_fract_x
_atom_site_fract_y
_atom_site_fract_z
_atom_site_occupancy
Cu1 0.000 0.000 0.223 1
Ni1 0.500 0.500 0.000 1
Ag1 0.500 0.500 0.500 1
```

***

Question: Among the records above, which one has the highest energy?
Answer: AgTe3Br